No. 1
Below is a relaxed structure of ZrCu2Ir, with properties calculated at the GGA-PBE level. Values from VASP.

Geometry as Quantum ESPRESSO input:
```
&SYSTEM
  ibrav = 0, nat = 4, ntyp = 3
/
ATOMIC_SPECIES
Zr 91.22 Zr.upf
Cu 63.55 Cu.upf
Ir 192.22 Ir.upf
ATOMIC_POSITIONS angstrom
Zr 0.000 0.000 0.000
Cu 0.541 2.337 1.281
Cu 0.541 -2.337 1.281
Ir 2.647 0.000 0.000
CELL_PARAMETERS angstrom
2.647 -4.675 0.000
2.647 4.675 0.000
-1.564 0.000 2.562
```

Properties
For the calculated volume, the calculation gives 63.4 Å³/f.u. Its calculated density is 10.75 Mg/m³. Its total energy is -0.236 Ha/atom. The calculation puts the energy of formation at -0.1 eV/f.u. Its energy above the lowest structure with this stoichiometry is 357 meV per atom.

---

No. 2
Below is a relaxed structure of Li4ScU3Se8, with properties calculated at the GGA-PBE level. Values from VASP.

Geometry as Quantum ESPRESSO input:
```
&SYSTEM
  ibrav = 0, nat = 16, ntyp = 4
/
ATOMIC_SPECIES
Li 6.94 Li.upf
Sc 44.96 Sc.upf
U 238.03 U.upf
Se 78.96 Se.upf
ATOMIC_POSITIONS angstrom
Li 0.000 0.000 0.000
Li -1.991 -1.150 6.586
Li -1.991 1.150 13.171
Li 0.000 2.299 6.586
Sc 0.000 0.000 9.878
U -3.983 0.000 9.878
U -1.991 1.150 3.293
U 1.991 1.150 3.293
Se 0.000 -2.222 8.205
Se -1.924 1.111 8.205
Se 0.000 0.000 5.032
Se -1.924 -1.111 11.551
Se 1.924 1.111 8.205
Se 0.000 0.000 14.725
Se 1.924 -1.111 11.551
Se 0.000 2.222 11.551
CELL_PARAMETERS angstrom
3.983 2.299 6.586
-3.983 2.299 6.586
0.000 -4.599 6.586
```

Properties
For the calculated volume, the calculation gives 361.9 Å³/f.u. Its calculated density is 6.51 Mg/m³. As for the energy relative to the elements, uncorrected: -1.27 eV/atom. Its total energy is -0.221 Ha/atom.

---

No. 3
Below is a relaxed structure of CdBiPb5, with properties calculated at the GGA-PBE level. Values from VASP.

Geometry as Quantum ESPRESSO input:
```
&SYSTEM
  ibrav = 0, nat = 7, ntyp = 3
/
ATOMIC_SPECIES
Cd 112.41 Cd.upf
Bi 208.98 Bi.upf
Pb 207.20 Pb.upf
ATOMIC_POSITIONS angstrom
Cd 0.000 0.000 0.000
Bi 0.000 0.000 4.650
Pb 0.000 2.456 2.030
Pb 0.000 2.456 7.271
Pb 2.456 0.000 2.030
Pb 2.456 0.000 7.271
Pb 2.456 2.456 4.650
CELL_PARAMETERS angstrom
4.912 0.000 0.000
0.000 4.912 0.000
0.000 0.000 9.301
```

Properties
For the calculated volume, the calculation gives 224.4 Å³/f.u. Its calculated density is 10.04 Mg/m³. Its total energy is -0.120 Ha/atom. The calculation puts the energy of formation at 0.5 eV/f.u.

---

No. 4
Below is a relaxed structure of Na2LiSb, with properties calculated at the GGA-PBE level. Values from VASP.

Geometry as Quantum ESPRESSO input:
```
&SYSTEM
  ibrav = 0, nat = 8, ntyp = 3
/
ATOMIC_SPECIES
Na 22.99 Na.upf
Li 6.94 Li.upf
Sb 121.76 Sb.upf
ATOMIC_POSITIONS angstrom
Na -0.040 1.228 3.168
Na -0.027 1.228 7.131
Na 4.339 3.684 0.550
Na 4.352 3.684 4.512
Li 2.105 3.684 2.808
Li 2.206 1.228 4.872
Sb 0.899 3.684 5.337
Sb 3.413 1.228 2.343
CELL_PARAMETERS angstrom
6.461 0.000 0.000
0.000 4.912 0.000
-2.150 0.000 7.681
```

Properties
For the calculated volume, the calculation gives 121.9 Å³/f.u. Its calculated density is 2.38 Mg/m³. As for the energy relative to the elements, uncorrected: -0.42 eV/atom. Its total energy is -0.095 Ha/atom.

---

No. 5
Below is a relaxed structure of CeAl3Cu, with properties calculated at the GGA-PBE level. Values from VASP.

Geometry as Quantum ESPRESSO input:
```
&SYSTEM
  ibrav = 0, nat = 20, ntyp = 3
/
ATOMIC_SPECIES
Ce 140.12 Ce.upf
Al 26.98 Al.upf
Cu 63.55 Cu.upf
ATOMIC_POSITIONS angstrom
Ce 1.470 1.035 0.042
Ce 2.655 3.106 5.486
Ce 5.594 1.035 5.401
Ce 6.779 3.106 10.845
Al 0.545 1.035 6.433
Al 0.969 3.106 8.563
Al 1.140 3.106 2.366
Al 2.984 1.035 7.810
Al 3.155 1.035 3.119
Al 3.579 3.106 0.989
Al 4.669 1.035 9.898
Al 5.094 3.106 7.768
Al 5.265 3.106 3.078
Al 7.109 1.035 8.521
Al 7.280 1.035 2.324
Al 7.704 3.106 4.454
Cu 0.834 1.035 3.936
Cu 3.290 3.106 9.380
Cu 4.959 1.035 1.507
Cu 7.415 3.106 6.951
CELL_PARAMETERS angstrom
8.249 0.000 0.000
0.000 4.141 0.000
0.000 0.000 10.888
```

Properties
For the calculated volume, the calculation gives 93.0 Å³/f.u. Its calculated density is 5.08 Mg/m³. Its total energy is -0.170 Ha/atom. The calculation puts the energy of formation at -1.8 eV/f.u. Its energy above the lowest structure with this stoichiometry is 51 meV per atom.

---

No. 6
Below is a relaxed structure of Cs3CdI, with properties calculated at the GGA-PBE level. Values from VASP.

Geometry as Quantum ESPRESSO input:
```
&SYSTEM
  ibrav = 0, nat = 10, ntyp = 3
/
ATOMIC_SPECIES
Cs 132.91 Cs.upf
Cd 112.41 Cd.upf
I 126.90 I.upf
ATOMIC_POSITIONS angstrom
Cs -0.756 1.285 2.207
Cs 0.145 3.855 6.449
Cs 3.836 3.855 1.613
Cs 3.134 1.285 9.175
Cs 6.825 1.285 4.339
Cs 7.726 3.855 8.581
Cd 2.888 1.285 4.878
Cd 4.082 3.855 5.910
I -0.939 1.285 9.335
I 7.909 3.855 1.453
CELL_PARAMETERS angstrom
11.730 0.000 0.000
0.000 5.140 0.000
-4.761 0.000 10.788
```

Properties
For the calculated volume, the calculation gives 325.3 Å³/f.u. Its calculated density is 3.26 Mg/m³. As for the energy relative to the elements, uncorrected: -0.59 eV/atom. Its total energy is -0.059 Ha/atom. Its energy above the lowest structure with this stoichiometry is 0 meV per atom.

---

No. 7
Below is a relaxed structure of CeDy2UAs4, with properties calculated at the GGA-PBE level. Values from VASP.

Geometry as Quantum ESPRESSO input:
```
&SYSTEM
  ibrav = 0, nat = 8, ntyp = 4
/
ATOMIC_SPECIES
Ce 140.12 Ce.upf
Dy 162.50 Dy.upf
U 238.03 U.upf
As 74.92 As.upf
ATOMIC_POSITIONS angstrom
Ce 0.000 0.000 0.000
Dy -1.187 2.060 3.391
Dy 2.388 0.000 3.391
U 3.575 2.060 0.000
As 0.037 0.000 5.087
As 1.228 2.060 1.707
As 3.547 2.060 5.075
As 4.738 0.000 1.696
CELL_PARAMETERS angstrom
7.150 0.000 0.000
0.000 4.120 0.000
-2.374 0.000 6.782
```

Properties
For the calculated volume, the calculation gives 199.8 Å³/f.u. Its calculated density is 8.34 Mg/m³. Its total energy is -0.255 Ha/atom. The calculation puts the energy of formation at -10.4 eV/f.u.

---

No. 8
Below is a relaxed structure of Tb3Nd4Sc4, with properties calculated at the GGA-PBE level. Values from VASP.

Geometry as Quantum ESPRESSO input:
```
&SYSTEM
  ibrav = 0, nat = 11, ntyp = 3
/
ATOMIC_SPECIES
Tb 158.93 Tb.upf
Nd 144.24 Nd.upf
Sc 44.96 Sc.upf
ATOMIC_POSITIONS angstrom
Tb 0.000 0.000 0.000
Tb 1.722 5.527 12.680
Tb 3.438 2.762 4.720
Nd 1.720 2.762 8.041
Nd 1.719 5.528 3.167
Nd 3.441 2.762 14.233
Nd 3.439 5.527 9.359
Sc 1.717 5.527 6.301
Sc 1.717 2.763 1.534
Sc 3.442 5.527 15.867
Sc 3.442 2.762 11.100
CELL_PARAMETERS angstrom
3.441 0.000 0.000
0.000 5.530 0.000
1.718 2.759 17.400
```

Properties
For the calculated volume, the calculation gives 331.1 Å³/f.u. Its calculated density is 6.19 Mg/m³. Its total energy is -0.192 Ha/atom. The calculation puts the energy of formation at 0.9 eV/f.u.

---

No. 9
Below is a relaxed structure of MnInIr, with properties calculated at the GGA-PBE level. Values from VASP.

Geometry as Quantum ESPRESSO input:
```
&SYSTEM
  ibrav = 0, nat = 6, ntyp = 3
/
ATOMIC_SPECIES
Mn 54.94 Mn.upf
In 114.82 In.upf
Ir 192.22 Ir.upf
ATOMIC_POSITIONS angstrom
Mn 0.363 0.000 2.809
Mn 6.371 0.000 3.764
In 1.343 0.000 5.751
In 5.392 0.000 0.821
Ir 2.845 0.000 2.047
Ir 3.890 0.000 4.525
CELL_PARAMETERS angstrom
4.154 -1.923 0.000
4.154 1.923 0.000
-1.575 0.000 6.572
```

Properties
For the calculated volume, the calculation gives 52.5 Å³/f.u. Its calculated density is 11.45 Mg/m³. Its total energy is -0.255 Ha/atom. The calculation puts the energy of formation at 0.0 eV/f.u.

---

No. 10
Below is a relaxed structure of GaCuSi, with properties calculated at the GGA-PBE level. Values from VASP.

Geometry as Quantum ESPRESSO input:
```
&SYSTEM
  ibrav = 0, nat = 6, ntyp = 3
/
ATOMIC_SPECIES
Ga 69.72 Ga.upf
Cu 63.55 Cu.upf
Si 28.09 Si.upf
ATOMIC_POSITIONS angstrom
Ga 0.000 0.000 0.000
Ga 5.827 0.000 0.487
Cu 4.626 2.143 1.485
Cu 4.626 -2.143 1.485
Si 2.450 1.219 2.178
Si 2.450 -1.219 2.178
CELL_PARAMETERS angstrom
4.303 -4.261 0.000
4.303 4.261 0.000
-0.796 0.000 2.509
```

Properties
For the calculated volume, the calculation gives 46.0 Å³/f.u. Its calculated density is 5.82 Mg/m³. As for the energy relative to the elements, uncorrected: 0.07 eV/atom. Its total energy is -0.151 Ha/atom.

---

No. 11
Below is a relaxed structure of RbScCu2O, with properties calculated at the GGA-PBE level. Values from VASP.

Geometry as Quantum ESPRESSO input:
```
&SYSTEM
  ibrav = 0, nat = 5, ntyp = 4
/
ATOMIC_SPECIES
Rb 85.47 Rb.upf
Sc 44.96 Sc.upf
Cu 63.55 Cu.upf
O 16.00 O.upf
ATOMIC_POSITIONS angstrom
Rb 0.000 0.000 0.000
Sc 2.776 2.776 1.979
Cu 0.000 2.776 1.979
Cu 2.776 0.000 1.979
O 2.776 2.776 0.000
CELL_PARAMETERS angstrom
5.552 0.000 0.000
0.000 5.552 0.000
0.000 0.000 3.959
```

Properties
For the calculated volume, the calculation gives 122.0 Å³/f.u. Its calculated density is 3.72 Mg/m³. As for the energy relative to the elements, uncorrected: -0.40 eV/atom. Its total energy is -0.165 Ha/atom.